Record 1
# Ho8Th2Mg

An optimized crystal structure of Ho8Th2Mg (GGA-PBE, Alexandria via LeMat-Bulk).

a = 6.605 Å, b = 9.925 Å, c = 9.925 Å
α = 38.52°, β = 60.26°, γ = 60.26°
Sites, in units of the cell vectors:
Ho 0.774 0.178 0.657
Ho 0.226 0.343 0.822
Ho 0.827 0.247 0.247
Ho 0.173 0.753 0.753
Ho 0.774 0.657 0.178
Ho 0.226 0.822 0.343
Ho 0.272 0.405 0.405
Ho 0.728 0.595 0.595
Th 0.422 0.190 0.190
Th 0.578 0.810 0.810
Mg 0.000 0.000 0.000

Summary:
Formation energy in eV/atom: 0.17
Volume in Å³/cell: 344.7

---

Record 2
# BaMgTcO6

An optimized crystal structure of BaMgTcO6 (GGA-PBE, Alexandria via LeMat-Bulk).

a = 5.473 Å, b = 5.474 Å, c = 5.464 Å
α = 89.74°, β = 90.27°, γ = 58.99°
Sites, in units of the cell vectors:
Ba 0.992 0.992 0.000
Mg 0.676 0.676 0.500
Tc 0.317 0.317 0.500
O 0.028 0.388 0.286
O 0.388 0.029 0.714
O 0.594 0.388 0.672
O 0.028 0.588 0.700
O 0.389 0.593 0.328
O 0.588 0.028 0.300

Summary:
Volume in Å³/cell: 140.3
Formation energy without anion corrections in eV per atom: -1.81

---

Number 1: VASP energy -51.1 eV/f.u.. Number 2: VASP energy -59.9 eV/f.u..